# GGA-PBEsol K2TlCd, relaxed
# **M_tot**: 0.00 μB per cell
# **Space-group type**: P4mm
# **Energy of formation**: -13 meV/atom
data_K2TlCd
_cell_length_a 4.056
_cell_length_b 4.056
_cell_length_c 9.655
_cell_angle_alpha 90.00
_cell_angle_beta 90.00
_cell_angle_gamma 90.00
_symmetry_space_group_name_H-M 'P 1'
_symmetry_Int_Tables_number 1
loop_
_symmetry_equiv_pos_as_xyz
'x,y,z'
loop_
_atom_site_label
_atom_site_type_symbol
_atom_site_fract_x
_atom_site_fract_y
_atom_site_fract_z
Tl1 Tl 0.000 0.000 0.564
K1 K 0.000 0.000 0.929
K2 K 0.500 0.500 0.320
Cd1 Cd 0.500 0.500 0.687



# GGA-PBEsol KTlCd4, relaxed
# **M_tot**: 0.00 μB per cell
# **Space-group type**: F-43m
# **Energy of formation**: -32 meV/atom
data_KTlCd4
_cell_length_a 5.994
_cell_length_b 5.994
_cell_length_c 5.994
_cell_angle_alpha 60.00
_cell_angle_beta 60.00
_cell_angle_gamma 60.00
_symmetry_space_group_name_H-M 'P 1'
_symmetry_Int_Tables_number 1
loop_
_symmetry_equiv_pos_as_xyz
'x,y,z'
loop_
_atom_site_label
_atom_site_type_symbol
_atom_site_fract_x
_atom_site_fract_y
_atom_site_fract_z
Tl1 Tl 0.000 0.000 0.000
K1 K 0.750 0.750 0.750
Cd1 Cd 0.375 0.375 0.375
Cd2 Cd 0.375 0.375 0.876
Cd3 Cd 0.876 0.375 0.375
Cd4 Cd 0.375 0.876 0.375



# GGA-PBEsol KCd2W, relaxed
# **M_tot**: 0.01 μB per cell
# **Space-group type**: Pmmm
# **Offset from the most stable computed form**: 87 meV/atom
# **Energy of formation**: 698 meV/atom
data_KCd2W
_cell_length_a 2.821
_cell_length_b 4.216
_cell_length_c 7.769
_cell_angle_alpha 90.00
_cell_angle_beta 90.00
_cell_angle_gamma 90.00
_symmetry_space_group_name_H-M 'P 1'
_symmetry_Int_Tables_number 1
loop_
_symmetry_equiv_pos_as_xyz
'x,y,z'
loop_
_atom_site_label
_atom_site_type_symbol
_atom_site_fract_x
_atom_site_fract_y
_atom_site_fract_z
Cd1 Cd 0.000 0.000 0.685
Cd2 Cd 0.000 0.000 0.315
K1 K 0.500 0.500 0.000
W1 W 0.500 0.500 0.500